No. 1
# CePmMg2 (GGA-PBE, optimized geometry)
data_CePmMg2
_cell_length_a 3.8148
_cell_length_b 3.8148
_cell_length_c 7.8545
_cell_angle_alpha 90.00
_cell_angle_beta 90.00
_cell_angle_gamma 90.00
_symmetry_space_group_name_H-M 'P 4/m m m'
_symmetry_Int_Tables_number 123
_symmetry_space_group_name_Hall '-P 4 2'
loop_
_atom_site_label
_atom_site_type_symbol
_atom_site_fract_x
_atom_site_fract_y
_atom_site_fract_z
Ce1 Ce 0.0000 0.0000 0.0000
Pm1 Pm 0.0000 0.0000 0.5000
Mg1 Mg 0.5000 0.5000 0.2509
# total magnetization = 1.00 μB per formula unit
# formation energy from the elements = -0.153 kcal/mol of atoms
# offset from the most stable computed form = 1 meV/atom
# ρ = 4.848 g/cm³

***

No. 2
# CePmMg4 (GGA-PBE, optimized geometry)
data_CePmMg4
_cell_length_a 8.6068
_cell_length_b 8.6068
_cell_length_c 8.6068
_cell_angle_alpha 90.00
_cell_angle_beta 90.00
_cell_angle_gamma 90.00
_symmetry_space_group_name_H-M 'F -4 3 m'
_symmetry_Int_Tables_number 216
_symmetry_space_group_name_Hall 'F -4 2 3'
loop_
_atom_site_label
_atom_site_type_symbol
_atom_site_fract_x
_atom_site_fract_y
_atom_site_fract_z
Ce1 Ce 0.0000 0.0000 0.0000
Pm1 Pm 0.2500 0.2500 0.7500
Mg1 Mg 0.1248 0.1248 0.3752
# total magnetization = 0.98 μB per formula unit
# formation energy from the elements = -0.955 kcal/mol of atoms
# ρ = 3.983 g/cm³

***

No. 3
# CePm3Mg4 (GGA-PBE, optimized geometry)
data_CePm3Mg4
_cell_length_a 3.8397
_cell_length_b 5.4669
_cell_length_c 10.9347
_cell_angle_alpha 90.00
_cell_angle_beta 90.00
_cell_angle_gamma 90.00
_symmetry_space_group_name_H-M 'P m m m'
_symmetry_Int_Tables_number 47
loop_
_symmetry_equiv_pos_as_xyz
'x,y,z'
'-x,-y,-z'
'-x,-y,z'
'x,y,-z'
'x,-y,-z'
'-x,y,z'
'-x,y,-z'
'x,-y,z'
loop_
_atom_site_label
_atom_site_type_symbol
_atom_site_fract_x
_atom_site_fract_y
_atom_site_fract_z
Ce1 Ce 0.0000 0.0000 0.0000
Pm1 Pm 0.0000 0.0000 0.5000
Pm2 Pm 0.0000 0.5000 0.2481
Mg1 Mg 0.5000 0.0000 0.2508
Mg2 Mg 0.5000 0.5000 0.0000
Mg3 Mg 0.5000 0.5000 0.5000
# total magnetization = 0.99 μB per formula unit
# formation energy from the elements = -1.336 kcal/mol of atoms
# ρ = 4.864 g/cm³

***

No. 4
# CePm4Mg (GGA-PBE, optimized geometry)
data_CePm4Mg
_cell_length_a 3.6076
_cell_length_b 3.6076
_cell_length_c 14.6586
_cell_angle_alpha 90.00
_cell_angle_beta 90.00
_cell_angle_gamma 90.00
_symmetry_space_group_name_H-M 'P 4/m m m'
_symmetry_Int_Tables_number 123
_symmetry_space_group_name_Hall '-P 4 2'
loop_
_atom_site_label
_atom_site_type_symbol
_atom_site_fract_x
_atom_site_fract_y
_atom_site_fract_z
Ce1 Ce 0.0000 0.0000 0.0000
Pm1 Pm 0.0000 0.0000 0.3478
Pm2 Pm 0.5000 0.5000 0.1693
Mg1 Mg 0.5000 0.5000 0.5000
# total magnetization = 0.70 μB per formula unit
# formation energy from the elements = 0.369 kcal/mol of atoms
# ρ = 6.479 g/cm³

***

No. 5
# CePmMg2 (GGA-PBE, optimized geometry)
data_CePmMg2
_cell_length_a 7.7046
_cell_length_b 7.7046
_cell_length_c 7.7046
_cell_angle_alpha 90.00
_cell_angle_beta 90.00
_cell_angle_gamma 90.00
_symmetry_space_group_name_H-M 'F m -3 m'
_symmetry_Int_Tables_number 225
_symmetry_space_group_name_Hall '-F 4 2 3'
loop_
_atom_site_label
_atom_site_type_symbol
_atom_site_fract_x
_atom_site_fract_y
_atom_site_fract_z
Ce1 Ce 0.0000 0.0000 0.0000
Pm1 Pm 0.0000 0.0000 0.5000
Mg1 Mg 0.2500 0.2500 0.2500
# total magnetization = 1.01 μB per formula unit
# formation energy from the elements = -0.177 kcal/mol of atoms
# offset from the most stable computed form = 0 meV/atom
# ρ = 4.847 g/cm³

***

No. 6
# CePm2Mg3 (GGA-PBE, optimized geometry)
data_CePm2Mg3
_cell_length_a 3.8341
_cell_length_b 3.8341
_cell_length_c 11.6901
_cell_angle_alpha 90.00
_cell_angle_beta 90.00
_cell_angle_gamma 90.00
_symmetry_space_group_name_H-M 'P 4/m m m'
_symmetry_Int_Tables_number 123
_symmetry_space_group_name_Hall '-P 4 2'
loop_
_atom_site_label
_atom_site_type_symbol
_atom_site_fract_x
_atom_site_fract_y
_atom_site_fract_z
Ce1 Ce 0.0000 0.0000 0.0000
Pm1 Pm 0.0000 0.0000 0.3330
Mg1 Mg 0.5000 0.5000 0.1668
Mg2 Mg 0.5000 0.5000 0.5000
# total magnetization = 0.99 μB per formula unit
# formation energy from the elements = -0.919 kcal/mol of atoms
# ρ = 4.861 g/cm³

***

No. 7
# CePmMg (GGA-PBE, optimized geometry)
data_CePmMg
_cell_length_a 5.5151
_cell_length_b 5.5151
_cell_length_c 3.1659
_cell_angle_alpha 90.00
_cell_angle_beta 90.00
_cell_angle_gamma 120.00
_symmetry_space_group_name_H-M 'P -6 m 2'
_symmetry_Int_Tables_number 187
_symmetry_space_group_name_Hall 'P -6 2'
loop_
_atom_site_label
_atom_site_type_symbol
_atom_site_fract_x
_atom_site_fract_y
_atom_site_fract_z
Ce1 Ce 0.0000 0.0000 0.0000
Pm1 Pm 0.6667 0.3333 0.0000
Mg1 Mg 0.3333 0.6667 0.5000
# total magnetization = 0.85 μB per formula unit
# formation energy from the elements = 2.808 kcal/mol of atoms
# offset from the most stable computed form = 78 meV/atom
# ρ = 6.161 g/cm³

***

No. 8
# CePmMg (GGA-PBE, optimized geometry)
data_CePmMg
_cell_length_a 6.0200
_cell_length_b 3.2899
_cell_length_c 8.6720
_cell_angle_alpha 90.00
_cell_angle_beta 90.00
_cell_angle_gamma 90.00
_symmetry_space_group_name_H-M 'P m m a'
_symmetry_Int_Tables_number 51
loop_
_symmetry_equiv_pos_as_xyz
'x,y,z'
'-x,-y,-z'
'-x+1/2,-y,z'
'x+1/2,y,-z'
'x+1/2,-y,-z'
'-x+1/2,y,z'
'-x,y,-z'
'x,-y,z'
loop_
_atom_site_label
_atom_site_type_symbol
_atom_site_fract_x
_atom_site_fract_y
_atom_site_fract_z
Ce1 Ce 0.0000 0.0000 0.0000
Pm1 Pm 0.2500 0.0000 0.3573
Mg1 Mg 0.2500 0.5000 0.6993
# total magnetization = 0.92 μB per formula unit
# formation energy from the elements = 2.434 kcal/mol of atoms
# offset from the most stable computed form = 62 meV/atom
# ρ = 5.983 g/cm³

***

No. 9
# CePm14Mg (GGA-PBE, optimized geometry)
data_CePm14Mg
_cell_length_a 7.2177
_cell_length_b 7.2177
_cell_length_c 10.2630
_cell_angle_alpha 90.00
_cell_angle_beta 90.00
_cell_angle_gamma 90.00
_symmetry_space_group_name_H-M 'P 4/m m m'
_symmetry_Int_Tables_number 123
_symmetry_space_group_name_Hall '-P 4 2'
loop_
_atom_site_label
_atom_site_type_symbol
_atom_site_fract_x
_atom_site_fract_y
_atom_site_fract_z
Ce1 Ce 0.0000 0.0000 0.0000
Pm1 Pm 0.0000 0.0000 0.5000
Pm2 Pm 0.0000 0.5000 0.0000
Pm3 Pm 0.0000 0.5000 0.5000
Pm4 Pm 0.2491 0.2491 0.2461
Pm5 Pm 0.5000 0.5000 0.5000
Mg1 Mg 0.5000 0.5000 0.0000
# total magnetization = 0.96 μB per formula unit
# formation energy from the elements = 0.554 kcal/mol of atoms
# ρ = 6.815 g/cm³

***

No. 10
# CePmMgPt (GGA-PBE, optimized geometry)
data_CePmMgPt
_cell_length_a 7.3633
_cell_length_b 7.3633
_cell_length_c 7.3633
_cell_angle_alpha 90.00
_cell_angle_beta 90.00
_cell_angle_gamma 90.00
_symmetry_space_group_name_H-M 'F -4 3 m'
_symmetry_Int_Tables_number 216
_symmetry_space_group_name_Hall 'F -4 2 3'
loop_
_atom_site_label
_atom_site_type_symbol
_atom_site_fract_x
_atom_site_fract_y
_atom_site_fract_z
Ce1 Ce 0.0000 0.0000 0.0000
Pm1 Pm 0.0000 0.0000 0.5000
Mg1 Mg 0.2500 0.2500 0.2500
Pt1 Pt 0.2500 0.2500 0.7500
# total magnetization = 0.89 μB per formula unit
# formation energy from the elements = -9.733 kcal/mol of atoms
# ρ = 8.394 g/cm³

***

No. 11
# CePmPuMg (GGA-PBE, optimized geometry)
data_CePmPuMg
_cell_length_a 7.6998
_cell_length_b 7.6998
_cell_length_c 7.6998
_cell_angle_alpha 90.00
_cell_angle_beta 90.00
_cell_angle_gamma 90.00
_symmetry_space_group_name_H-M 'F -4 3 m'
_symmetry_Int_Tables_number 216
_symmetry_space_group_name_Hall 'F -4 2 3'
loop_
_atom_site_label
_atom_site_type_symbol
_atom_site_fract_x
_atom_site_fract_y
_atom_site_fract_z
Ce1 Ce 0.0000 0.0000 0.0000
Pm1 Pm 0.0000 0.0000 0.5000
Pu1 Pu 0.2500 0.2500 0.7500
Mg1 Mg 0.2500 0.2500 0.2500
# total magnetization = 7.50 μB per formula unit
# formation energy from the elements = 3.055 kcal/mol of atoms
# ρ = 8.052 g/cm³

***

No. 12
# CePmMgSc (GGA-PBE, optimized geometry)
data_CePmMgSc
_cell_length_a 7.6913
_cell_length_b 7.6913
_cell_length_c 7.6913
_cell_angle_alpha 90.00
_cell_angle_beta 90.00
_cell_angle_gamma 90.00
_symmetry_space_group_name_H-M 'F -4 3 m'
_symmetry_Int_Tables_number 216
_symmetry_space_group_name_Hall 'F -4 2 3'
loop_
_atom_site_label
_atom_site_type_symbol
_atom_site_fract_x
_atom_site_fract_y
_atom_site_fract_z
Ce1 Ce 0.0000 0.0000 0.0000
Pm1 Pm 0.0000 0.0000 0.5000
Mg1 Mg 0.2500 0.2500 0.2500
Sc1 Sc 0.2500 0.2500 0.7500
# total magnetization = 1.37 μB per formula unit
# formation energy from the elements = 1.745 kcal/mol of atoms
# ρ = 5.173 g/cm³

***

No. 13
# CePmMgSi (GGA-PBE, optimized geometry)
data_CePmMgSi
_cell_length_a 7.3588
_cell_length_b 7.3588
_cell_length_c 7.3588
_cell_angle_alpha 90.00
_cell_angle_beta 90.00
_cell_angle_gamma 90.00
_symmetry_space_group_name_H-M 'F -4 3 m'
_symmetry_Int_Tables_number 216
_symmetry_space_group_name_Hall 'F -4 2 3'
loop_
_atom_site_label
_atom_site_type_symbol
_atom_site_fract_x
_atom_site_fract_y
_atom_site_fract_z
Ce1 Ce 0.0000 0.0000 0.0000
Pm1 Pm 0.0000 0.0000 0.5000
Mg1 Mg 0.2500 0.2500 0.2500
Si1 Si 0.2500 0.2500 0.7500
# total magnetization = 1.06 μB per formula unit
# raw formation energy = -0.2226 eV per atom
# ρ = 5.626 g/cm³

***

No. 14
# CePmSmMg (GGA-PBE, optimized geometry)
data_CePmSmMg
_cell_length_a 7.8769
_cell_length_b 7.8769
_cell_length_c 7.8769
_cell_angle_alpha 90.00
_cell_angle_beta 90.00
_cell_angle_gamma 90.00
_symmetry_space_group_name_H-M 'F -4 3 m'
_symmetry_Int_Tables_number 216
_symmetry_space_group_name_Hall 'F -4 2 3'
loop_
_atom_site_label
_atom_site_type_symbol
_atom_site_fract_x
_atom_site_fract_y
_atom_site_fract_z
Ce1 Ce 0.0000 0.0000 0.0000
Pm1 Pm 0.2500 0.2500 0.2500
Sm1 Sm 0.2500 0.2500 0.7500
Mg1 Mg 0.0000 0.0000 0.5000
# total magnetization = 1.12 μB per formula unit
# formation energy from the elements = 3.172 kcal/mol of atoms
# ρ = 6.249 g/cm³

***

No. 15
# CePmMgSn (GGA-PBE, optimized geometry)
data_CePmMgSn
_cell_length_a 7.6710
_cell_length_b 7.6710
_cell_length_c 7.6710
_cell_angle_alpha 90.00
_cell_angle_beta 90.00
_cell_angle_gamma 90.00
_symmetry_space_group_name_H-M 'F -4 3 m'
_symmetry_Int_Tables_number 216
_symmetry_space_group_name_Hall 'F -4 2 3'
loop_
_atom_site_label
_atom_site_type_symbol
_atom_site_fract_x
_atom_site_fract_y
_atom_site_fract_z
Ce1 Ce 0.0000 0.0000 0.0000
Pm1 Pm 0.0000 0.0000 0.5000
Mg1 Mg 0.2500 0.2500 0.7500
Sn1 Sn 0.2500 0.2500 0.2500
# total magnetization = 1.20 μB per formula unit
# formation energy from the elements = -8.092 kcal/mol of atoms
# ρ = 6.300 g/cm³

***

No. 16
# Ce2PmMg2Sn2 (GGA-PBE, optimized geometry)
data_Ce2PmMg2Sn2
_cell_length_a 4.8027
_cell_length_b 4.8027
_cell_length_c 27.8420
_cell_angle_alpha 90.00
_cell_angle_beta 90.00
_cell_angle_gamma 120.00
_symmetry_space_group_name_H-M 'R -3 m'
_symmetry_Int_Tables_number 166
_symmetry_space_group_name_Hall '-R 3 2"'
loop_
_atom_site_label
_atom_site_type_symbol
_atom_site_fract_x
_atom_site_fract_y
_atom_site_fract_z
Ce1 Ce 0.0000 0.0000 0.1447
Pm1 Pm 0.0000 0.0000 0.0000
Mg1 Mg 0.0000 0.0000 0.4137
Sn1 Sn 0.0000 0.0000 0.2672
# total magnetization = 2.80 μB per formula unit
# formation energy from the elements = -7.199 kcal/mol of atoms
# ρ = 6.371 g/cm³

***

No. 17
# CePmMgTc (GGA-PBE, optimized geometry)
data_CePmMgTc
_cell_length_a 7.2402
_cell_length_b 7.2402
_cell_length_c 7.2402
_cell_angle_alpha 90.00
_cell_angle_beta 90.00
_cell_angle_gamma 90.00
_symmetry_space_group_name_H-M 'F -4 3 m'
_symmetry_Int_Tables_number 216
_symmetry_space_group_name_Hall 'F -4 2 3'
loop_
_atom_site_label
_atom_site_type_symbol
_atom_site_fract_x
_atom_site_fract_y
_atom_site_fract_z
Ce1 Ce 0.0000 0.0000 0.0000
Pm1 Pm 0.0000 0.0000 0.5000
Mg1 Mg 0.2500 0.2500 0.2500
Tc1 Tc 0.2500 0.2500 0.7500
# total magnetization = 0.01 μB per formula unit
# formation energy from the elements = 2.218 kcal/mol of atoms
# ρ = 7.130 g/cm³

***

No. 18
# CePmThMg (GGA-PBE, optimized geometry)
data_CePmThMg
_cell_length_a 7.8535
_cell_length_b 7.8535
_cell_length_c 7.8535
_cell_angle_alpha 90.00
_cell_angle_beta 90.00
_cell_angle_gamma 90.00
_symmetry_space_group_name_H-M 'F -4 3 m'
_symmetry_Int_Tables_number 216
_symmetry_space_group_name_Hall 'F -4 2 3'
loop_
_atom_site_label
_atom_site_type_symbol
_atom_site_fract_x
_atom_site_fract_y
_atom_site_fract_z
Ce1 Ce 0.0000 0.0000 0.0000
Pm1 Pm 0.0000 0.0000 0.5000
Th1 Th 0.2500 0.2500 0.2500
Mg1 Mg 0.2500 0.2500 0.7500
# total magnetization = 1.10 μB per formula unit
# formation energy from the elements = 4.118 kcal/mol of atoms
# ρ = 7.425 g/cm³

***

No. 19
# CePmMgTl (GGA-PBE, optimized geometry)
data_CePmMgTl
_cell_length_a 4.8611
_cell_length_b 4.8611
_cell_length_c 9.4530
_cell_angle_alpha 90.00
_cell_angle_beta 90.00
_cell_angle_gamma 90.00
_symmetry_space_group_name_H-M 'I -4 m 2'
_symmetry_Int_Tables_number 119
_symmetry_space_group_name_Hall 'I -4 -2'
loop_
_atom_site_label
_atom_site_type_symbol
_atom_site_fract_x
_atom_site_fract_y
_atom_site_fract_z
Ce1 Ce 0.0000 0.0000 0.0000
Pm1 Pm 0.0000 0.0000 0.5000
Mg1 Mg 0.0000 0.5000 0.2500
Tl1 Tl 0.0000 0.5000 0.7500
# total magnetization = 1.05 μB per formula unit
# formation energy from the elements = -3.587 kcal/mol of atoms
# offset from the most stable computed form = 0 meV/atom
# ρ = 7.639 g/cm³

***

No. 20
# CePmMgTl (GGA-PBE, optimized geometry)
data_CePmMgTl
_cell_length_a 7.7446
_cell_length_b 7.7446
_cell_length_c 7.7446
_cell_angle_alpha 90.00
_cell_angle_beta 90.00
_cell_angle_gamma 90.00
_symmetry_space_group_name_H-M 'F -4 3 m'
_symmetry_Int_Tables_number 216
_symmetry_space_group_name_Hall 'F -4 2 3'
loop_
_atom_site_label
_atom_site_type_symbol
_atom_site_fract_x
_atom_site_fract_y
_atom_site_fract_z
Ce1 Ce 0.0000 0.0000 0.0000
Pm1 Pm 0.0000 0.0000 0.5000
Mg1 Mg 0.2500 0.2500 0.7500
Tl1 Tl 0.2500 0.2500 0.2500
# total magnetization = 1.27 μB per formula unit
# formation energy from the elements = -3.537 kcal/mol of atoms
# offset from the most stable computed form = 2 meV/atom
# ρ = 7.347 g/cm³